Record 1
Zn2Sn2P | PBE | relaxed

crystal system	tetragonal
ΔH_f (0 K)	0.189	eV per atom
total magnetic moment	0.00	μB per atom
symmetry	P4/mbm, No. 127

Cell lengths 6.4231, 6.4231, 5.1775 Å; angles 90.00, 90.00, 90.00 degrees
Last column: nearest neighbours and their distance in Å.
Fractional positions:
1 Zn 0.1372 0.3628 0.0000  2 P 2.49, 1 Zn 2.49
2 Zn 0.3628 0.8628 0.0000  2 P 2.49, 1 Zn 2.49
3 Zn 0.6372 0.1372 0.0000  2 P 2.49, 1 Zn 2.49
4 Zn 0.8628 0.6372 0.0000  2 P 2.49, 1 Zn 2.49
5 Sn 0.1785 0.6785 0.5000  6 Zn 3.08-3.30, 5 Sn 3.24-3.34
6 Sn 0.3215 0.1785 0.5000  6 Zn 3.08-3.30, 5 Sn 3.24-3.34
7 Sn 0.6785 0.8215 0.5000  6 Zn 3.08-3.30, 5 Sn 3.24-3.34
8 Sn 0.8215 0.3215 0.5000  6 Zn 3.08-3.30, 5 Sn 3.24-3.34
9 P 0.0000 0.0000 0.0000  4 Zn 2.49
10 P 0.5000 0.5000 0.0000  4 Zn 2.49



Record 2
ZnSnP2 | PBE | relaxed

crystal system	tetragonal
ΔH_f (0 K)	-0.186	eV per atom
total magnetic moment	0.00	μB per atom
symmetry	P-4m2, No. 115
energy relative to the lowest polymorph listed for this composition	3.7	meV/atom

Cell lengths 4.0399, 4.0399, 5.6774 Å; angles 90.00, 90.00, 90.00 degrees
Last column: nearest neighbours and their distance in Å.
Fractional positions:
1 Zn 0.0000 0.0000 0.0000  4 P 2.40
2 Sn 0.5000 0.5000 0.5000  4 P 2.55
3 P 0.0000 0.5000 0.2267  2 Zn 2.40, 2 Sn 2.55
4 P 0.5000 0.0000 0.7733  2 Zn 2.40, 2 Sn 2.55



Record 3
Zr4SnP | PBE | relaxed

crystal system	monoclinic
ΔH_f (0 K)	-0.654	eV per atom
total magnetic moment	0.00	μB per atom
symmetry	C2/c, No. 15

Cell lengths 7.3410, 7.3410, 5.5367 Å; angles 101.07, 101.07, 115.13 degrees
Last column: nearest neighbours and their distance in Å.
Fractional positions:
1 Zr 0.0823 0.7211 0.9416  2 P 2.70-2.76, 1 Sn 2.97
2 Zr 0.2010 0.3750 0.6434  2 P 2.74-2.76, 1 Sn 2.98
3 Zr 0.2789 0.9177 0.5584  2 P 2.70-2.76, 1 Sn 2.97
4 Zr 0.3750 0.2010 0.1434  2 P 2.74-2.76, 1 Sn 2.98
5 Zr 0.6250 0.7990 0.8566  2 P 2.74-2.76, 1 Sn 2.98
6 Zr 0.7211 0.0823 0.4416  2 P 2.70-2.76, 1 Sn 2.97
7 Zr 0.7990 0.6250 0.3566  2 P 2.74-2.76, 1 Sn 2.98
8 Zr 0.9177 0.2789 0.0584  2 P 2.70-2.76, 1 Sn 2.97
9 Sn 0.3821 0.6179 0.2500  10 Zr 2.97-3.21
10 Sn 0.6179 0.3821 0.7500  10 Zr 2.97-3.21
11 P 0.0048 0.9952 0.2500  8 Zr 2.70-2.76, 2 P 2.77
12 P 0.9952 0.0048 0.7500  8 Zr 2.70-2.76, 2 P 2.77



Record 4
Zr2Sn2P | PBE | relaxed

crystal system	tetragonal
ΔH_f (0 K)	-0.549	eV per atom
total magnetic moment	0.00	μB per atom
symmetry	P4/mbm, No. 127

Cell lengths 7.0318, 7.0318, 4.5386 Å; angles 90.00, 90.00, 90.00 degrees
Last column: nearest neighbours and their distance in Å.
Fractional positions:
1 Zr 0.1706 0.3294 0.0000  2 P 2.61, 2 Sn 2.92
2 Zr 0.3294 0.8294 0.0000  2 P 2.61, 2 Sn 2.92
3 Zr 0.6706 0.1706 0.0000  2 P 2.61, 2 Sn 2.92
4 Zr 0.8294 0.6706 0.0000  2 P 2.61, 2 Sn 2.92
5 Sn 0.1448 0.6448 0.5000  1 Sn 2.88, 6 Zr 2.92-3.18
6 Sn 0.3552 0.1448 0.5000  1 Sn 2.88, 6 Zr 2.92-3.18
7 Sn 0.6448 0.8552 0.5000  1 Sn 2.88, 6 Zr 2.92-3.18
8 Sn 0.8552 0.3552 0.5000  1 Sn 2.88, 6 Zr 2.92-3.18
9 P 0.0000 0.0000 0.0000  4 Zr 2.61
10 P 0.5000 0.5000 0.0000  4 Zr 2.61



Record 5
ZrSn3P | PBE | relaxed

crystal system	cubic
ΔH_f (0 K)	0.846	eV per atom
total magnetic moment	0.00	μB per atom
symmetry	Pm-3m, No. 221
energy relative to the lowest polymorph listed for this composition	266.7	meV/atom

Cell lengths 5.5427, 5.5427, 5.5427 Å; angles 90.00, 90.00, 90.00 degrees
Last column: nearest neighbours and their distance in Å.
Fractional positions:
1 Zr 0.0000 0.0000 0.0000  6 Sn 2.77
2 Sn 0.0000 0.0000 0.5000  2 Zr 2.77
3 Sn 0.0000 0.5000 0.0000  2 Zr 2.77
4 Sn 0.5000 0.0000 0.0000  2 Zr 2.77
5 P 0.5000 0.5000 0.5000  12 Sn 3.92



Record 6
ZrSn2P | PBE | relaxed

crystal system	tetragonal
ΔH_f (0 K)	0.056	eV per atom
total magnetic moment	0.00	μB per atom
symmetry	I-42d, No. 122

Cell lengths 6.3376, 6.3376, 6.3376 Å; angles 101.70, 101.70, 126.47 degrees
Last column: nearest neighbours and their distance in Å.
Fractional positions:
1 Zr 0.0000 0.0000 0.0000  2 P 2.85, 4 Sn 3.09
2 Zr 0.7500 0.2500 0.5000  2 P 2.85, 4 Sn 3.09
3 Sn 0.1559 0.1250 0.5309  2 P 2.75, 2 Sn 2.90
4 Sn 0.3750 0.8441 0.9691  2 P 2.75, 2 Sn 2.90
5 Sn 0.5941 0.6250 0.4691  2 P 2.75, 2 Sn 2.90
6 Sn 0.8750 0.4059 0.0309  2 P 2.75, 2 Sn 2.90
7 P 0.2500 0.7500 0.5000  4 Sn 2.75, 2 Zr 2.85
8 P 0.5000 0.5000 0.0000  4 Sn 2.75, 2 Zr 2.85



Record 7
ZrSnP2 | PBE | relaxed

crystal system	trigonal
ΔH_f (0 K)	-0.504	eV per atom
total magnetic moment	0.00	μB per atom
symmetry	R3m, No. 160

Cell lengths 7.4131, 7.4131, 7.4131 Å; angles 29.12, 29.12, 29.12 degrees
Last column: nearest neighbours and their distance in Å.
Fractional positions:
1 Zr 0.0000 0.0000 0.0000  6 P 2.64-2.70
2 Sn 0.8353 0.8353 0.8353  6 P 2.85-2.98
3 P 0.4052 0.4052 0.4052  3 Zr 2.64
4 P 0.5899 0.5899 0.5899  3 Zr 2.70, 3 Sn 2.85



Record 8
ZrSn2P2 | PBE | relaxed

crystal system	tetragonal
ΔH_f (0 K)	-0.205	eV per atom
total magnetic moment	0.00	μB per atom
symmetry	P4/mbm, No. 127

Cell lengths 7.1141, 7.1141, 4.2424 Å; angles 90.00, 90.00, 90.00 degrees
Last column: nearest neighbours and their distance in Å.
Fractional positions:
1 Zr 0.0000 0.0000 0.0000  4 P 2.66
2 Zr 0.5000 0.5000 0.0000  4 P 2.66
3 Sn 0.1569 0.3431 0.5000  6 P 2.79-3.11
4 Sn 0.3431 0.8431 0.5000  6 P 2.79-3.11
5 Sn 0.6569 0.1569 0.5000  6 P 2.79-3.11
6 Sn 0.8431 0.6569 0.5000  6 P 2.79-3.11
7 P 0.1633 0.6633 0.0000  2 Zr 2.66, 2 Sn 2.79
8 P 0.3367 0.1633 0.0000  2 Zr 2.66, 2 Sn 2.79
9 P 0.6633 0.8367 0.0000  2 Zr 2.66, 2 Sn 2.79
10 P 0.8367 0.3367 0.0000  2 Zr 2.66, 2 Sn 2.79



Record 9
ZrSnP2 | PBE | relaxed

crystal system	tetragonal
ΔH_f (0 K)	-0.247	eV per atom
total magnetic moment	0.00	μB per atom
symmetry	I-42d, No. 122

Cell lengths 7.3755, 7.3755, 7.3755 Å; angles 130.95, 130.95, 71.89 degrees
Last column: nearest neighbours and their distance in Å.
Fractional positions:
1 Zr 0.0000 0.0000 0.0000  4 P 2.54
2 Zr 0.7500 0.2500 0.5000  4 P 2.54
3 Sn 0.2500 0.7500 0.5000  4 P 2.72
4 Sn 0.5000 0.5000 0.0000  4 P 2.72
5 P 0.0996 0.6250 0.9746  2 Zr 2.54, 2 Sn 2.72
6 P 0.3750 0.3496 0.4746  2 Zr 2.54, 2 Sn 2.72
7 P 0.6504 0.1250 0.0254  2 Zr 2.54, 2 Sn 2.72
8 P 0.8750 0.9004 0.5254  2 Zr 2.54, 2 Sn 2.72



Record 10
ZrSn3P | PBE | relaxed

crystal system	cubic
ΔH_f (0 K)	0.580	eV per atom
total magnetic moment	0.00	μB per atom
symmetry	Pm-3m, No. 221
energy relative to the lowest polymorph listed for this composition	0.0	meV/atom

Cell lengths 5.1132, 5.1132, 5.1132 Å; angles 90.00, 90.00, 90.00 degrees
Last column: nearest neighbours and their distance in Å.
Fractional positions:
1 Zr 0.0000 0.0000 0.0000  12 Sn 3.62
2 Sn 0.0000 0.5000 0.5000  2 P 2.56
3 Sn 0.5000 0.0000 0.5000  2 P 2.56
4 Sn 0.5000 0.5000 0.0000  2 P 2.56
5 P 0.5000 0.5000 0.5000  6 Sn 2.56



Record 11
Zr6SnP | PBE | relaxed

crystal system	triclinic
ΔH_f (0 K)	-0.354	eV per atom
total magnetic moment	0.00	μB per atom
symmetry	P-1, No. 2

Cell lengths 5.6216, 5.7014, 5.8874 Å; angles 104.76, 98.40, 98.85 degrees
Last column: nearest neighbours and their distance in Å.
Fractional positions:
1 Zr 0.1106 0.2343 0.2202  1 P 2.54
2 Zr 0.2499 0.8372 0.4473  1 P 2.60
3 Zr 0.2645 0.4283 0.8216  1 P 2.54
4 Zr 0.7355 0.5717 0.1784  1 P 2.54
5 Zr 0.7501 0.1628 0.5527  1 P 2.60
6 Zr 0.8894 0.7657 0.7798  1 P 2.54
7 Sn 0.5000 0.0000 0.0000  8 Zr 3.02-3.27
8 P 0.5000 0.5000 0.5000  6 Zr 2.54-2.60



Record 12
Sr3P2 | PBE | relaxed

crystal system	cubic
ΔH_f (0 K)	-0.645	eV per atom
total magnetic moment	0.00	μB per atom
symmetry	Pm-3m, No. 221
energy relative to the lowest polymorph listed for this composition	403.6	meV/atom

Cell lengths 5.6700, 5.6700, 5.6700 Å; angles 90.00, 90.00, 90.00 degrees
Last column: nearest neighbours and their distance in Å.
Fractional positions:
1 Sr 0.0000 0.0000 0.5000  2 P 2.83
2 Sr 0.0000 0.5000 0.0000  2 P 2.83
3 Sr 0.5000 0.0000 0.0000  2 P 2.83
4 P 0.0000 0.0000 0.0000  6 Sr 2.83-2.84
5 P 0.5000 0.5000 0.5000  12 Sr 4.01